BaHf2Sb2: relaxed, PBE-GGA.

a b c (Å): 5.501 5.501 6.405
angles (deg): 64.57 64.57 90.00
Fractional coordinates of all 5 atoms:
Sb 0.750 0.250 0.500
Sb 0.250 0.750 0.500
Hf 0.351 0.351 0.298
Hf 0.649 0.649 0.702
Ba 0.000 0.000 0.000

Values from the calculation:
Its density of states at the Fermi level is 3.207 states/eV/f.u. The calculated total energy is -6.25 eV per atom. Its crystal system is tetragonal. For the magnetic moment, the calculation gives 1.78 μB/cell. As for the space-group type: I4/mmm.


ZrBi2TeAu: relaxed, PBE-GGA.

a b c (Å): 5.742 5.222 5.742
angles (deg): 90.00 90.00 90.00
Fractional coordinates of all 5 atoms:
Te 0.500 0.500 0.500
Au 0.000 0.500 0.000
Bi 0.000 0.000 0.500
Bi 0.500 0.000 0.000
Zr 0.000 0.000 0.000

Values from the calculation:
Its density of states at the Fermi level is 6.092 states/eV/f.u. The calculated total energy is -4.07 eV per atom. Its crystal system is tetragonal. For the magnetic moment, the calculation gives 0.14 μB/cell. As for the space-group type: P4/mmm.


Er4InAg2Au: relaxed, PBE-GGA.

a b c (Å): 5.129 5.129 8.893
angles (deg): 73.24 73.24 60.00
Fractional coordinates of all 8 atoms:
Er 0.380 0.380 0.859
Er 0.871 0.871 0.388
Er 0.129 0.129 0.612
Er 0.620 0.620 0.141
In 0.000 0.000 0.000
Ag 0.744 0.744 0.769
Ag 0.256 0.256 0.231
Au 0.500 0.500 0.500

Values from the calculation:
Its density of states at the Fermi level is 5.730 states/eV/f.u. Its crystal system is trigonal. For the energy of formation from the pure elements, the calculation gives -509 meV/atom. For the magnetic moment, the calculation gives 0.00 μB/cell. As for the space-group type: R-3m.


Ca3Se5: relaxed, PBE-GGA.

a b c (Å): 9.074 9.074 5.759
angles (deg): 90.00 90.00 120.00
Fractional coordinates of all 16 atoms:
Ca 0.641 0.000 0.250
Ca 0.359 0.000 0.750
Ca 0.000 0.641 0.250
Ca 0.359 0.359 0.250
Ca 0.641 0.641 0.750
Ca 0.000 0.359 0.750
Se 0.333 0.667 0.000
Se 0.667 0.333 0.500
Se 0.667 0.333 0.000
Se 0.333 0.667 0.500
Se 0.293 0.000 0.250
Se 0.707 0.000 0.750
Se 0.000 0.293 0.250
Se 0.707 0.707 0.250
Se 0.293 0.293 0.750
Se 0.000 0.707 0.750

Values from the calculation:
Its density of states at the Fermi level is 11.717 states/eV/f.u. The calculated total energy is -4.09 eV per atom. Its crystal system is hexagonal. For the magnetic moment, the calculation gives 0.00 μB/cell. As for the space-group type: P6_3/mcm.


Cu2Sb2C: relaxed, PBE-GGA.

a b c (Å): 6.677 6.677 4.004
angles (deg): 90.00 90.00 90.00
Fractional coordinates of all 10 atoms:
Sb 0.310 0.810 0.000
Sb 0.810 0.690 0.000
Sb 0.690 0.190 0.000
Sb 0.190 0.310 0.000
C 0.000 0.000 0.000
C 0.500 0.500 0.000
Cu 0.126 0.626 0.500
Cu 0.626 0.874 0.500
Cu 0.874 0.374 0.500
Cu 0.374 0.126 0.500

Values from the calculation:
Its density of states at the Fermi level is 2.967 states/eV/f.u. The calculated total energy is -4.06 eV per atom. Its crystal system is tetragonal. For the magnetic moment, the calculation gives 0.00 μB/cell. As for the space-group type: P4/mbm.


ErIn2Bi: relaxed, PBE-GGA.

a b c (Å): 3.464 3.464 12.127
angles (deg): 81.79 81.79 60.00
Fractional coordinates of all 4 atoms:
In 0.088 0.088 0.736
In 0.912 0.912 0.264
Bi 0.500 0.500 0.500
Er 0.000 0.000 0.000

Values from the calculation:
Its density of states at the Fermi level is 3.274 states/eV/f.u. Its crystal system is trigonal. For the energy of formation from the pure elements, the calculation gives 141 meV/atom. For the magnetic moment, the calculation gives 0.00 μB/cell. As for the space-group type: R-3m.


CsCaH2CF: relaxed, PBE-GGA.

a b c (Å): 7.505 3.613 7.641
angles (deg): 90.00 103.81 90.00
Fractional coordinates of all 12 atoms:
Cs 0.346 0.000 0.309
Cs 0.346 0.500 0.809
Ca 0.824 0.000 0.170
Ca 0.824 0.500 0.670
H 0.043 0.242 0.477
H 0.043 0.758 0.477
H 0.043 0.742 0.977
H 0.043 0.258 0.977
C 0.976 0.000 0.525
C 0.976 0.500 0.025
F 0.600 0.000 0.672
F 0.600 0.500 0.172

Values from the calculation:
Its density of states at the Fermi level is 0.000 states/eV/f.u. The calculated total energy is -4.38 eV per atom. Its crystal system is monoclinic. For the magnetic moment, the calculation gives 0.00 μB/cell. As for the space-group type: Cm.


SiNiCl2: relaxed, PBE-GGA.

a b c (Å): 3.351 3.351 8.166
angles (deg): 90.00 90.00 124.05
Fractional coordinates of all 4 atoms:
Cl 0.000 0.000 0.048
Cl 0.000 0.000 0.452
Ni 0.500 0.500 0.250
Si 0.500 0.500 0.750

Values from the calculation:
Its density of states at the Fermi level is 2.481 states/eV/f.u. The calculated total energy is -3.56 eV per atom. Its crystal system is orthorhombic. For the magnetic moment, the calculation gives 0.94 μB/cell. As for the space-group type: Cmmm.


Rb2OsPd: relaxed, PBE-GGA.

a b c (Å): 12.588 12.588 9.225
angles (deg): 46.98 46.98 90.00
Fractional coordinates of all 8 atoms:
Os 0.000 0.000 0.000
Os 0.750 0.250 0.500
Rb 0.444 0.125 0.250
Rb 0.306 0.625 0.250
Rb 0.375 0.556 0.750
Rb 0.875 0.694 0.750
Pd 0.500 0.500 0.000
Pd 0.250 0.750 0.500

Values from the calculation:
Its density of states at the Fermi level is 5.314 states/eV/f.u. Its crystal system is tetragonal. For the energy of formation from the pure elements, the calculation gives 1157 meV/atom. For the magnetic moment, the calculation gives 3.50 μB/cell. As for the space-group type: I-42d.


ScCuSi4: relaxed, PBE-GGA.

a b c (Å): 5.019 5.019 5.019
angles (deg): 60.00 60.00 60.00
Fractional coordinates of all 6 atoms:
Sc 0.000 0.000 0.000
Cu 0.750 0.750 0.750
Si 0.871 0.376 0.376
Si 0.376 0.376 0.871
Si 0.376 0.871 0.376
Si 0.376 0.376 0.376

Values from the calculation:
Its density of states at the Fermi level is 0.903 states/eV/f.u. The calculated total energy is -5.38 eV per atom. Its crystal system is cubic. For the magnetic moment, the calculation gives 0.00 μB/cell. As for the space-group type: F-43m.


TiCd2Bi2: relaxed, PBE-GGA.

a b c (Å): 7.915 7.915 4.156
angles (deg): 90.00 90.00 90.00
Fractional coordinates of all 10 atoms:
Ti 0.000 0.000 0.000
Ti 0.500 0.500 0.000
Bi 0.174 0.674 0.500
Bi 0.674 0.826 0.500
Bi 0.826 0.326 0.500
Bi 0.326 0.174 0.500
Cd 0.369 0.869 0.000
Cd 0.869 0.631 0.000
Cd 0.631 0.131 0.000
Cd 0.131 0.369 0.000

Values from the calculation:
Its density of states at the Fermi level is 3.934 states/eV/f.u. Its crystal system is tetragonal. For the energy of formation from the pure elements, the calculation gives 292 meV/atom. For the magnetic moment, the calculation gives 3.69 μB/cell. As for the space-group type: P4/mbm.


Li3In4Ga2: relaxed, PBE-GGA.

a b c (Å): 4.747 4.790 10.531
angles (deg): 103.19 90.00 119.70
Fractional coordinates of all 9 atoms:
Li 0.627 0.255 0.768
Li 0.000 0.000 0.000
Li 0.373 0.745 0.232
In 0.687 0.374 0.062
In 0.313 0.626 0.938
In 0.916 0.833 0.617
In 0.084 0.167 0.383
Ga 0.729 0.457 0.332
Ga 0.271 0.543 0.668

Values from the calculation:
Its density of states at the Fermi level is 1.821 states/eV/f.u. Its crystal system is monoclinic. For the energy of formation from the pure elements, the calculation gives -166 meV/atom. For the magnetic moment, the calculation gives 0.00 μB/cell. As for the space-group type: C2/m.